No. 1
Here is crystalline Ti3MoH at its relaxed geometry from Alexandria via LeMat-Bulk. Energies are from PBEsol.

Unit cell a=4.686 b=4.686 c=4.686 alpha=90.00 beta=90.00 gamma=90.00
Positions (direct):
Ti 0.000 0.000 0.500
Ti 0.000 0.500 0.000
Ti 0.500 0.000 0.000
Mo 0.000 0.000 0.000
H 0.500 0.500 0.500

Values from the calculation:
- density (Mg/m³) = 3.88
- space group = Pm-3m, No. 221
- E_tot (Ha/atom) = -0.2412
- V (Å³/cell) = 102.9

---

No. 2
Here is crystalline TiMoH3 at its relaxed geometry from Alexandria via LeMat-Bulk. Energies are from PBEsol.

Unit cell a=3.445 b=3.445 c=3.445 alpha=90.00 beta=90.00 gamma=90.00
Positions (direct):
Ti 0.000 0.000 0.000
Mo 0.500 0.500 0.500
H 0.000 0.500 0.500
H 0.500 0.000 0.500
H 0.500 0.500 0.000

Values from the calculation:
- density (Mg/m³) = 5.97
- space group = Pm-3m, No. 221
- E_tot (Ha/atom) = -0.2205
- V (Å³/cell) = 40.9

---

No. 3
Here is crystalline Ti3MoH at its relaxed geometry from Alexandria via LeMat-Bulk. Energies are from PBEsol.

Unit cell a=4.031 b=4.031 c=4.031 alpha=90.00 beta=90.00 gamma=90.00
Positions (direct):
Ti 0.000 0.000 0.500
Ti 0.000 0.500 0.000
Ti 0.500 0.000 0.000
Mo 0.500 0.500 0.500
H 0.000 0.000 0.000

Values from the calculation:
- density (Mg/m³) = 6.10
- space group = Pm-3m, No. 221
- E_tot (Ha/atom) = -0.2960
- V (Å³/cell) = 65.5

---

No. 4
Here is crystalline Tl3MoH at its relaxed geometry from Alexandria via LeMat-Bulk. Energies are from PBEsol.

Unit cell a=4.542 b=4.542 c=4.542 alpha=90.00 beta=90.00 gamma=90.00
Positions (direct):
Tl 0.000 0.000 0.500
Tl 0.000 0.500 0.000
Tl 0.500 0.000 0.000
Mo 0.500 0.500 0.500
H 0.000 0.000 0.000

Values from the calculation:
- density (Mg/m³) = 12.59
- space group = Pm-3m, No. 221
- E_tot (Ha/atom) = -0.1370
- V (Å³/cell) = 93.7

---

No. 5
Here is crystalline Mo2H2W at its relaxed geometry from Alexandria via LeMat-Bulk. Energies are from PBEsol.

Unit cell a=5.810 b=5.810 c=5.810 alpha=148.85 beta=148.85 gamma=44.63
Positions (direct):
Mo 0.146 0.146 0.000
Mo 0.854 0.854 0.000
H 0.250 0.750 0.500
H 0.750 0.250 0.500
W 0.500 0.500 0.000

Values from the calculation:
- density (Mg/m³) = 11.99
- space group = I4/mmm, No. 139
- E_tot (Ha/atom) = -0.3191
- V (Å³/cell) = 52.3

---

No. 6
Here is crystalline MoHW3 at its relaxed geometry from Alexandria via LeMat-Bulk. Energies are from PBEsol.

Unit cell a=4.025 b=4.025 c=4.025 alpha=90.00 beta=90.00 gamma=90.00
Positions (direct):
Mo 0.000 0.000 0.000
H 0.500 0.500 0.500
W 0.000 0.500 0.500
W 0.500 0.000 0.500
W 0.500 0.500 0.000

Values from the calculation:
- density (Mg/m³) = 16.51
- space group = Pm-3m, No. 221
- E_tot (Ha/atom) = -0.4023
- V (Å³/cell) = 65.2

---

No. 7
Here is crystalline YMoH2 at its relaxed geometry from Alexandria via LeMat-Bulk. Energies are from PBEsol.

Unit cell a=4.020 b=4.020 c=4.020 alpha=60.00 beta=60.00 gamma=60.00
Positions (direct):
Y 0.000 0.000 0.000
Mo 0.500 0.500 0.500
H 0.250 0.250 0.250
H 0.750 0.750 0.750

Values from the calculation:
- density (Mg/m³) = 6.75
- space group = Fm-3m, No. 225
- E_tot (Ha/atom) = -0.2123
- V (Å³/cell) = 45.9

---

No. 8
Here is crystalline Zr2MoH2 at its relaxed geometry from Alexandria via LeMat-Bulk. Energies are from PBEsol.

Unit cell a=6.243 b=6.243 c=6.243 alpha=149.16 beta=149.16 gamma=44.17
Positions (direct):
Zr 0.140 0.140 0.000
Zr 0.860 0.860 0.000
Mo 0.500 0.500 0.000
H 0.250 0.750 0.500
H 0.750 0.250 0.500

Values from the calculation:
- density (Mg/m³) = 7.31
- space group = I4/mmm, No. 139
- E_tot (Ha/atom) = -0.2804
- V (Å³/cell) = 63.7

---

No. 9
Here is crystalline Na3HN at its relaxed geometry from Alexandria via LeMat-Bulk. Energies are from PBEsol.

Unit cell a=4.176 b=4.176 c=4.176 alpha=90.00 beta=90.00 gamma=90.00
Positions (direct):
Na 0.000 0.000 0.500
Na 0.000 0.500 0.000
Na 0.500 0.000 0.000
H 0.000 0.000 0.000
N 0.500 0.500 0.500

Values from the calculation:
- density (Mg/m³) = 1.92
- space group = Pm-3m, No. 221
- E_tot (Ha/atom) = -0.1030
- V (Å³/cell) = 72.8

---

No. 10
Here is crystalline NaH2N at its relaxed geometry from Alexandria via LeMat-Bulk. Energies are from PBEsol.

Unit cell a=6.774 b=6.381 c=5.944 alpha=66.58 beta=59.80 gamma=53.62
Positions (direct):
Na 0.022 0.022 0.728
Na 0.272 0.272 0.978
Na 0.728 0.728 0.022
Na 0.978 0.978 0.272
H 0.097 0.507 0.583
H 0.312 0.583 0.507
H 0.417 0.688 0.903
H 0.493 0.903 0.688
H 0.507 0.097 0.312
H 0.583 0.312 0.097
H 0.688 0.417 0.493
H 0.903 0.493 0.417
N 0.120 0.630 0.630
N 0.370 0.880 0.880
N 0.630 0.120 0.120
N 0.880 0.370 0.370

Values from the calculation:
- density (Mg/m³) = 1.46
- space group = Fddd, No. 70
- E_tot (Ha/atom) = -0.1662
- V (Å³/cell) = 177.0

---

No. 11
Here is crystalline NaPH3NO3 at its relaxed geometry from Alexandria via LeMat-Bulk. Energies are from PBEsol.

Unit cell a=5.720 b=5.720 c=6.057 alpha=90.00 beta=90.00 gamma=120.00
Positions (direct):
Na 0.000 0.000 0.000
Na 0.000 0.000 0.500
P 0.333 0.667 0.187
P 0.667 0.333 0.687
H 0.149 0.645 0.833
H 0.355 0.504 0.833
H 0.496 0.851 0.833
H 0.504 0.149 0.333
H 0.645 0.496 0.333
H 0.851 0.355 0.333
N 0.333 0.667 0.895
N 0.667 0.333 0.395
O 0.137 0.374 0.248
O 0.237 0.863 0.248
O 0.374 0.237 0.748
O 0.626 0.763 0.248
O 0.763 0.137 0.748
O 0.863 0.626 0.748

Values from the calculation:
- density (Mg/m³) = 2.30
- space group = P6_3, No. 173
- E_tot (Ha/atom) = -0.2233
- V (Å³/cell) = 171.6

---

No. 12
Here is crystalline NaH8SNO6 at its relaxed geometry from Alexandria via LeMat-Bulk. Energies are from PBEsol.

Unit cell a=6.341 b=7.980 c=12.601 alpha=90.00 beta=90.00 gamma=90.00
Positions (direct):
Na 0.082 0.231 0.486
Na 0.418 0.769 0.986
Na 0.582 0.269 0.514
Na 0.918 0.731 0.014
H 0.007 0.722 0.336
H 0.123 0.606 0.818
H 0.131 0.086 0.085
H 0.143 0.065 0.221
H 0.154 0.476 0.909
H 0.214 0.762 0.196
H 0.228 0.417 0.649
H 0.245 0.764 0.660
H 0.255 0.236 0.160
H 0.272 0.583 0.149
H 0.286 0.238 0.696
H 0.346 0.524 0.409
H 0.357 0.935 0.721
H 0.369 0.914 0.585
H 0.377 0.394 0.318
H 0.493 0.278 0.836
H 0.507 0.778 0.664
H 0.623 0.894 0.182
H 0.631 0.414 0.915
H 0.643 0.435 0.779
H 0.654 0.024 0.091
H 0.714 0.738 0.804
H 0.728 0.083 0.351
H 0.745 0.736 0.340
H 0.755 0.264 0.840
H 0.772 0.917 0.851
H 0.786 0.262 0.304
H 0.846 0.976 0.591
H 0.857 0.565 0.279
H 0.869 0.586 0.415
H 0.877 0.106 0.682
H 0.993 0.222 0.164
S 0.121 0.115 0.883
S 0.379 0.885 0.383
S 0.621 0.385 0.117
S 0.879 0.615 0.617
N 0.130 0.150 0.158
N 0.370 0.850 0.658
N 0.630 0.350 0.842
N 0.870 0.650 0.342
O 0.080 0.591 0.679
O 0.114 0.277 0.938
O 0.143 0.977 0.961
O 0.165 0.598 0.893
O 0.198 0.690 0.132
O 0.198 0.888 0.306
O 0.302 0.112 0.806
O 0.302 0.310 0.632
O 0.335 0.402 0.393
O 0.357 0.023 0.461
O 0.386 0.723 0.438
O 0.420 0.409 0.179
O 0.580 0.909 0.321
O 0.614 0.223 0.062
O 0.643 0.523 0.039
O 0.665 0.902 0.107
O 0.698 0.612 0.694
O 0.698 0.810 0.868
O 0.802 0.190 0.368
O 0.802 0.388 0.194
O 0.835 0.098 0.607
O 0.857 0.477 0.539
O 0.886 0.777 0.562
O 0.920 0.091 0.821

Values from the calculation:
- density (Mg/m³) = 1.80
- space group = P2_12_12_1, No. 19
- E_tot (Ha/atom) = -0.1986
- V (Å³/cell) = 637.6